No. 1
A plane-wave DFT calculation with SCAN was carried out for a crystal of SrSiOs2 relaxed with PBEsol.

Lattice parameters (Å, degrees): 2.9361 3.7964 6.5679 90.00 101.03 90.00
Positions (direct):
Sr 0.0000 0.0000 0.0000
Si 0.0000 0.0000 0.5000
Os 0.3613 0.5000 0.6769
Os 0.6387 0.5000 0.3231

ΔE_f (raw) = 0.43 eV per atom
space-group type = P2/m (10)
crystal system = monoclinic
D(E_F) = 3.04 states/eV/f.u.

No. 2
A plane-wave DFT calculation with SCAN was carried out for a crystal of Sr2SiOs relaxed with PBEsol.

Lattice parameters (Å, degrees): 3.3784 3.3784 28.9438 90.00 90.00 120.00
Positions (direct):
Sr 0.0000 0.0000 0.2449
Sr 0.0000 0.0000 0.7551
Sr 0.3333 0.6667 0.4217
Sr 0.3333 0.6667 0.9116
Sr 0.6667 0.3333 0.0884
Sr 0.6667 0.3333 0.5783
Si 0.0000 0.0000 0.0000
Si 0.3333 0.6667 0.6667
Si 0.6667 0.3333 0.3333
Os 0.0000 0.0000 0.5000
Os 0.3333 0.6667 0.1667
Os 0.6667 0.3333 0.8333

ΔE_f (raw) = 0.83 eV per atom
space-group type = R-3m (166)
crystal system = trigonal
D(E_F) = 2.55 states/eV/f.u.